# PBE Er5TmSn6, relaxed
# - ΔH_f (0 K) (eV/atom) = -0.595
# - total magnetization (Bohr magnetons per cell) = 0.0
data_Er5TmSn6
_chemical_formula_sum 'Er10 Tm2 Sn12'
_symmetry_space_group_name_H-M 'C 1 2/m 1'
_symmetry_Int_Tables_number 12
_symmetry_space_group_name_Hall '-C 2y'
_cell_length_a 5.6452
_cell_length_b 13.8993
_cell_length_c 8.4669
_cell_angle_alpha 90.00
_cell_angle_beta 102.06
_cell_angle_gamma 90.00
loop_
_atom_site_label
_atom_site_fract_x
_atom_site_fract_y
_atom_site_fract_z
Er1 0.0000 0.0000 0.0000
Er2 0.0000 0.3328 0.0000
Er3 0.0000 0.3339 0.5000
Tm1 0.0000 0.0000 0.5000
Sn1 0.0006 0.1664 0.7492
Sn2 0.0029 0.5000 0.2493